CoPCl | Alexandria via LeMat-Bulk | SCAN | single point on PBEsol structure; formation energy without anion corrections = 0.46 eV per atom; DFT total energy = -11.44 eV/atom
1.0
-2.308 0.956 -3.081
-0.025 -2.284 -3.244
-3.188 -2.203 -0.850
P Co Cl
1 1 1
direct
0.000 0.000 0.000 P
0.250 0.250 0.250 Co
0.500 0.500 0.500 Cl


CoP2Cl | Alexandria via LeMat-Bulk | SCAN | single point on PBEsol structure; formation energy without anion corrections = 0.50 eV per atom; DFT total energy = -11.02 eV/atom
1.0
-1.386 -0.938 2.157
-2.752 -1.824 -2.562
4.814 -2.728 0.179
Cl Co P
1 1 2
direct
0.500 0.000 0.000 Cl
0.000 0.500 0.000 Co
0.693 0.693 0.385 P
0.307 0.307 0.615 P


CoP2PdCl | Alexandria via LeMat-Bulk | SCAN | single point on PBEsol structure; formation energy without anion corrections = 0.53 eV per atom; DFT total energy = -15.24 eV/atom
1.0
-2.139 -2.194 -2.882
2.811 -3.117 0.286
-2.526 -1.969 3.373
P Co Pd Cl
2 1 1 1
direct
0.000 0.500 0.000 P
0.500 0.000 0.000 P
0.000 0.000 0.000 Co
0.500 0.500 0.500 Pd
0.000 0.000 0.500 Cl


Rb2CoPCl | Alexandria via LeMat-Bulk | SCAN | single point on PBEsol structure; formation energy without anion corrections = 0.11 eV per atom; DFT total energy = -15.32 eV/atom
1.0
-0.205 -2.121 3.409
4.452 -3.884 -2.148
4.427 3.666 2.547
P Co Rb Cl
1 1 2 1
direct
0.500 0.500 0.500 P
0.000 0.000 0.000 Co
0.000 0.000 0.500 Rb
0.000 0.500 0.000 Rb
0.500 0.000 0.000 Cl


TaCoPCl2 | Alexandria via LeMat-Bulk | SCAN | single point on PBEsol structure; formation energy without anion corrections = 0.33 eV per atom; DFT total energy = -21.72 eV/atom
1.0
-1.012 3.763 -2.553
-1.267 -2.745 -3.545
-4.645 -0.081 1.723
P Cl Co Ta
1 2 1 1
direct
0.000 0.000 0.500 P
0.000 0.500 0.000 Cl
0.500 0.000 0.000 Cl
0.500 0.500 0.500 Co
0.000 0.000 0.000 Ta


CoTcPCl2 | Alexandria via LeMat-Bulk | SCAN | single point on PBEsol structure; formation energy without anion corrections = 0.54 eV per atom; DFT total energy = -15.20 eV/atom
1.0
-1.768 1.553 -3.810
-2.545 -3.593 -0.283
-3.155 2.053 2.301
P Co Tc Cl
1 1 1 2
direct
0.500 0.000 0.000 P
0.000 0.000 0.000 Co
0.500 0.500 0.500 Tc
0.000 0.000 0.500 Cl
0.000 0.500 0.000 Cl